# 1
A geometry-optimized Pa3GeSe2O6 structure. Source: the Alexandria database, functional PBE.

Calculated values
Formation energy from raw total energies (meV per atom): -2515
Uncorrected energy (eV/atom): -8.334

abc: 6.0851 7.6967 7.3461
angles: 121.59 73.36 90.00
Site moments in Bohr magnetons follow the coordinates.
Positions (direct):
O (0.4387, 0.1798, 0.3596)  0.00
O (0.2230, 0.5967, 0.8006)  0.01
O (0.5613, 0.8202, 0.6404)  0.00
O (0.2230, 0.2039, 0.8006)  0.01
O (0.7770, 0.4033, 0.1994)  0.01
O (0.7770, 0.7961, 0.1994)  0.01
Se (0.7782, 0.3245, 0.6489)  0.00
Se (0.2218, 0.6755, 0.3511)  0.00
Pa (0.5000, 0.5000, 0.5000)  0.12
Pa (0.5000, 0.0000, 0.5000)  0.12
Pa (0.0000, 0.5000, 0.0000)  0.03
Ge (0.5000, 0.0000, 0.0000)  0.31

# 2
A geometry-optimized La2SbMo2 structure. Source: the Alexandria database, functional PBE.

Calculated values
Formation energy from raw total energies (meV per atom): 17
Uncorrected energy (eV/atom): -7.111

abc: 10.1064 10.1064 10.1064
angles: 158.92 158.92 29.99
Positions (direct):
Sb (0.0000, 0.0000, 0.0000)
Mo (0.2500, 0.7500, 0.5000)
Mo (0.7500, 0.2500, 0.5000)
La (0.3879, 0.3879, 0.0000)
La (0.6121, 0.6121, 0.0000)

# 3
A geometry-optimized CaPmHg4 structure. Source: the Alexandria database, functional PBE.

Calculated values
Distance to the lowest polymorph of the same formula (eV per atom): 0.0000
Uncorrected energy (eV/atom): -1.743
E_form (eV per atom): -0.42

abc: 3.9485 5.7029 8.0151
angles: 100.75 75.74 69.75
Positions (direct):
Hg (0.6649, 0.0028, 0.6675)
Hg (0.1659, 0.5036, 0.1645)
Hg (0.3351, 0.9972, 0.3325)
Hg (0.8341, 0.4964, 0.8355)
Ca (0.0000, 0.0000, 0.0000)
Pm (0.5000, 0.5000, 0.5000)

# 4
A geometry-optimized TlSbSe2N structure. Source: the Alexandria database, functional PBE.

Calculated values
Distance to the lowest polymorph of the same formula (eV per atom): 0.6191
Formation energy from raw total energies (meV per atom): 1151
Uncorrected energy (eV/atom): -3.205

abc: 5.4755 5.4755 4.1160
angles: 90.00 90.00 90.00
Positions (direct):
Se (0.0000, 0.5000, 0.0000)
Se (0.5000, 0.0000, 0.0000)
Tl (0.0000, 0.0000, 0.0000)
Sb (0.5000, 0.5000, 0.5000)
N (0.0000, 0.0000, 0.5000)

- Which formula does entry 3 have?
  CaPmHg4